No. 1
First-principles (SCAN) data for EuMgH4 at its PBEsol-relaxed geometry, as listed in Alexandria via LeMat-Bulk.

Cell lengths 6.6103, 6.6103, 5.5266 Å; angles 90.00, 90.00, 146.74 degrees
With the nearest neighbours (Å) after each atom.
Element x y z (fractional)
Eu1 0.1516 0.8484 0.5000  9 H 2.31-2.58
Eu2 0.8484 0.1516 0.0000  9 H 2.31-2.58
Mg1 0.4181 0.5819 0.5510  6 H 1.85-2.04
Mg2 0.5819 0.4181 0.0510  6 H 1.85-2.04
H1 0.0521 0.9479 0.1222  2 Mg 1.97
H2 0.2956 0.7044 0.7575  1 Mg 1.93, 1 H 2.12
H3 0.3291 0.6709 0.2724  1 Mg 1.91
H4 0.4482 0.5518 0.9144  2 Mg 1.85-2.04
H5 0.5518 0.4482 0.4144  2 Mg 1.85-2.04
H6 0.6709 0.3291 0.7724  1 Mg 1.91
H7 0.7044 0.2956 0.2575  1 Mg 1.93, 1 H 2.12
H8 0.9479 0.0521 0.6222  2 Mg 1.97

Calculated values
Space-group type   Cmc2_1, No. 36
Calculated density   4.5 g cm⁻³
Size of the total moment   7.0 μB per formula unit
DFT total energy   -12.57 eV per atom

***

No. 2
First-principles (SCAN) data for EuH3O3 at its PBEsol-relaxed geometry, as listed in Alexandria via LeMat-Bulk.

Cell lengths 6.3171, 6.3171, 3.6022 Å; angles 90.00, 90.00, 120.00 degrees
With the nearest neighbours (Å) after each atom.
Element x y z (fractional)
Eu1 0.3333 0.6667 0.2500  9 O 2.46-2.47
Eu2 0.6667 0.3333 0.7500  9 O 2.46-2.47
H1 0.1294 0.2777 0.7500  1 O 0.98
H2 0.1482 0.8706 0.7500  1 O 0.98
H3 0.2777 0.1482 0.2500  1 O 0.98
H4 0.7223 0.8518 0.7500  1 O 0.98
H5 0.8518 0.1294 0.2500  1 O 0.98
H6 0.8706 0.7223 0.2500  1 O 0.98
O1 0.0824 0.6934 0.7500  1 H 0.98
O2 0.3066 0.3890 0.7500  1 H 0.98
O3 0.3890 0.0824 0.2500  1 H 0.98
O4 0.6110 0.9176 0.7500  1 H 0.98
O5 0.6934 0.6110 0.2500  1 H 0.98
O6 0.9176 0.3066 0.2500  1 H 0.98

Calculated values
Space-group type   P6_3/m, No. 176
Calculated density   5.4 g cm⁻³
Size of the total moment   6.0 μB per formula unit
DFT total energy   -13.60 eV per atom

***

No. 3
First-principles (SCAN) data for EuH3Pd at its PBEsol-relaxed geometry, as listed in Alexandria via LeMat-Bulk.

Cell lengths 3.7322, 3.7322, 3.7322 Å; angles 90.00, 90.00, 90.00 degrees
With the nearest neighbours (Å) after each atom.
Element x y z (fractional)
Eu1 0.0000 0.0000 0.0000  12 H 2.64
H1 0.0000 0.5000 0.5000  2 Pd 1.87
H2 0.5000 0.0000 0.5000  2 Pd 1.87
H3 0.5000 0.5000 0.0000  2 Pd 1.87
Pd1 0.5000 0.5000 0.5000  6 H 1.87

Calculated values
Space-group type   Pm-3m, No. 221
Calculated density   8.3 g cm⁻³
Size of the total moment   7.0 μB per formula unit
DFT total energy   -19.97 eV per atom

***

No. 4
First-principles (SCAN) data for Eu2HfNbO6 at its PBEsol-relaxed geometry, as listed in Alexandria via LeMat-Bulk.

Cell lengths 5.7411, 5.7411, 5.7411 Å; angles 60.00, 60.00, 60.00 degrees
With the nearest neighbours (Å) after each atom.
Element x y z (fractional)
Eu1 0.2500 0.2500 0.2500  12 O 2.87
Eu2 0.7500 0.7500 0.7500  12 O 2.87
Hf1 0.0000 0.0000 0.0000  6 O 2.04
Nb1 0.5000 0.5000 0.5000  6 O 2.02
O1 0.2513 0.2513 0.7487  1 Nb 2.02, 1 Hf 2.04
O2 0.2513 0.7487 0.2513  1 Nb 2.02, 1 Hf 2.04
O3 0.2513 0.7487 0.7487  1 Nb 2.02, 1 Hf 2.04
O4 0.7487 0.2513 0.2513  1 Nb 2.02, 1 Hf 2.04
O5 0.7487 0.2513 0.7487  1 Nb 2.02, 1 Hf 2.04
O6 0.7487 0.7487 0.2513  1 Nb 2.02, 1 Hf 2.04

Calculated values
Space-group type   Fm-3m, No. 225
Calculated density   8.3 g cm⁻³
Size of the total moment   13.7 μB per formula unit
DFT total energy   -27.31 eV per atom